The following is a DFT calculation (PBE) of a relaxed structure of Na8SnBi2.

Structure (POSCAR):
```
Na8SnBi2
1.0
-0.560 4.486 -2.940
-7.881 1.725 4.133
7.485 0.417 4.157
Na Bi Sn
8 2 1
direct
0.141 0.142 0.282
0.656 0.864 0.312
0.859 0.858 0.718
0.655 0.447 0.311
0.000 0.695 0.001
0.345 0.553 0.689
0.000 0.305 0.999
0.344 0.136 0.688
0.794 0.294 0.588
0.206 0.706 0.412
0.500 0.000 0.000
```

Results
* E above lowest polymorph: 0 meV/atom
* density of states at the Fermi level: 0.18 states/eV per atom
* formation energy from the elements: -0.28 eV per atom
* total DFT energy (no corrections): -2.305 eV/atom

The following is a DFT calculation (PBE) of a relaxed structure of Na3SnBi2.

Structure (POSCAR):
```
Na3SnBi2
1.0
4.722 0.000 -1.494
0.000 4.882 0.000
-0.200 0.000 7.578
Bi Na Sn
2 3 1
direct
0.832 0.500 0.665
0.168 0.500 0.335
0.664 0.000 0.329
0.500 0.500 0.000
0.336 0.000 0.671
0.000 0.000 0.000
```

Results
* E above lowest polymorph: 32 meV/atom
* density of states at the Fermi level: 0.31 states/eV per atom
* formation energy from the elements: -0.22 eV per atom
* total DFT energy (no corrections): -2.842 eV/atom

Which formula does entry 2 have? Na3SnBi2